# 1
Below is a relaxed structure of NaCI2N, with properties calculated at the PBE level.

Summary:
As for the distance to the lowest polymorph of the same formula: 0.0 kJ/mol of formula units. Its uncorrected formation energy is 0.721 eV/atom.

Cell and atoms, written as POSCAR:
```
NaCI2N
1.0
-0.318 -3.405 -5.917
5.019 -4.131 2.108
-1.844 -1.693 1.073
I Na C N
2 1 1 1
direct
0.000 0.500 0.000
0.500 0.000 0.000
0.500 0.500 0.500
0.000 0.000 0.000
0.000 0.000 0.500
```

=====

# 2
Below is a relaxed structure of GaFe2Re, with properties calculated at the PBE level.

Summary:
For the total energy, the calculation gives -59.86 eV for the cell shown.

Cell and atoms, written as POSCAR:
```
GaFe2Re
1.0
-6.287 -0.998 2.181
2.394 -2.994 5.531
-1.890 0.251 5.048
Re Fe Ga
2 4 2
direct
0.000 0.000 0.000
0.750 0.250 0.500
0.633 0.125 0.250
0.117 0.625 0.250
0.375 0.367 0.750
0.875 0.883 0.750
0.500 0.500 0.000
0.250 0.750 0.500
```

=====

| no. | magnetization (μB per formula unit) |
| --- | --- |
| 1 | 0.21 |
| 2 | 4.39 |